Record 1
PBE-GGA SiBiAu2, optimized geometry; offset from the most stable computed form = 43 meV per atom; SG = No. 160; total energy = -3.888 eV/atom; formation energy (no corrections) = 76 meV per atom
1.0
-3.7546 -0.7092 -1.3731
-3.0120 -0.7463 2.6185
-3.5100 5.5948 0.7050
Si Bi Au
1 1 2
direct
0.6678 0.6678 0.9966
0.4985 0.4985 0.5046
0.0601 0.0601 0.8196
0.2736 0.2736 0.1792

***

Record 2
PBE-GGA Si2Bi2Au, optimized geometry; SG = No. 139; total energy = -4.125 eV/atom; formation energy (no corrections) = 252 meV per atom
1.0
-1.7562 -2.0209 2.2626
-1.5193 -1.6769 -2.6771
5.3855 -8.0592 -0.3030
Si Au Bi
2 1 2
direct
0.7500 0.2500 0.5000
0.2500 0.7500 0.5000
0.0000 0.0000 0.0000
0.3973 0.3973 0.2053
0.6027 0.6027 0.7947

***

Record 3
PBE-GGA SiBi2Au2, optimized geometry; offset from the most stable computed form = 185 meV per atom; SG = No. 127; total energy = -3.604 eV/atom; formation energy (no corrections) = 344 meV per atom
1.0
8.0398 0.0000 0.0000
0.0000 8.0398 0.0000
0.0000 0.0000 3.8828
Si Au Bi
2 4 4
direct
0.0000 0.0000 0.0000
0.5000 0.5000 0.0000
0.1234 0.6234 0.5000
0.6234 0.8766 0.5000
0.8766 0.3766 0.5000
0.3766 0.1234 0.5000
0.3168 0.8168 0.0000
0.8168 0.6832 0.0000
0.6832 0.1832 0.0000
0.1832 0.3168 0.0000

***

Record 4
PBE-GGA Si2SnBiAu, optimized geometry; offset from the most stable computed form = 249 meV per atom; SG = No. 123; total energy = -3.005 eV/atom; formation energy (no corrections) = 1396 meV per atom
1.0
-2.1616 4.3560 2.1088
-5.4526 -2.6012 -0.2161
0.7517 -1.9793 4.8592
Si Au Bi Sn
2 1 1 1
direct
0.0000 0.0000 0.5000
0.5000 0.0000 0.0000
0.5000 0.5000 0.5000
0.0000 0.0000 0.0000
0.0000 0.5000 0.0000

***

Record 5
PBE-GGA Si2SnBiAu, optimized geometry; offset from the most stable computed form = 0 meV per atom; SG = No. 123; total energy = -3.255 eV/atom; formation energy (no corrections) = 1147 meV per atom
1.0
5.4313 0.0000 0.0000
0.0000 5.2995 0.0000
0.0000 0.0000 5.4313
Si Au Bi Sn
2 1 1 1
direct
0.0000 0.0000 0.5000
0.5000 0.0000 0.0000
0.0000 0.5000 0.0000
0.0000 0.0000 0.0000
0.5000 0.5000 0.5000

***

Record 6
PBE-GGA Sr2Si2BiAu6, optimized geometry; SG = No. 166; total energy = -3.754 eV/atom; formation energy (no corrections) = -322 meV per atom
1.0
-1.6890 6.4190 -0.1433
-2.8786 2.7940 5.2900
6.5133 5.2574 4.9336
Sr Si Bi Au
2 2 1 6
direct
0.7958 0.7958 0.6127
0.2042 0.2042 0.3873
0.4569 0.4569 0.6293
0.5431 0.5431 0.3707
0.0000 0.0000 0.0000
0.7659 0.7659 0.2732
0.1951 0.7659 0.2732
0.7659 0.1951 0.2732
0.2341 0.8049 0.7268
0.8049 0.2341 0.7268
0.2341 0.2341 0.7268

***

Record 7
PBE-GGA SrSi2BiAu5, optimized geometry; SG = No. 123; total energy = -3.884 eV/atom; formation energy (no corrections) = -240 meV per atom
1.0
4.6556 0.0000 0.0000
0.0000 4.6556 0.0000
0.0000 0.0000 10.1578
Sr Si Bi Au
1 2 1 5
direct
0.0000 0.0000 0.5000
0.5000 0.5000 0.2655
0.5000 0.5000 0.7345
0.0000 0.0000 0.0000
0.0000 0.5000 0.1907
0.5000 0.0000 0.1907
0.0000 0.5000 0.8093
0.5000 0.0000 0.8093
0.5000 0.5000 0.5000

***

Record 8
PBE-GGA Tl2Si3BiAu12, optimized geometry; SG = No. 166; total energy = -3.429 eV/atom; formation energy (no corrections) = 138 meV per atom
1.0
-5.5355 2.7797 -4.4768
0.2016 -4.0376 -6.4860
-5.7916 -4.9749 0.3426
Tl Si Bi Au
2 3 1 12
direct
0.5947 0.5947 0.5947
0.4053 0.4053 0.4053
0.5000 0.0000 0.0000
0.0000 0.5000 0.0000
0.0000 0.0000 0.5000
0.0000 0.0000 0.0000
0.3055 0.3055 0.8616
0.8367 0.8367 0.3917
0.3917 0.8367 0.8367
0.8616 0.3055 0.3055
0.8367 0.3917 0.8367
0.3055 0.8616 0.3055
0.6945 0.6945 0.1384
0.1633 0.1633 0.6083
0.6083 0.1633 0.1633
0.1384 0.6945 0.6945
0.1633 0.6083 0.1633
0.6945 0.1384 0.6945

***

Record 9
PBE-GGA Si2BiWAu, optimized geometry; SG = No. 123; total energy = -3.768 eV/atom; formation energy (no corrections) = 2423 meV per atom
1.0
5.1867 0.0000 0.0000
0.0000 5.1445 0.0000
0.0000 0.0000 5.1867
Si Au Bi W
2 1 1 1
direct
0.0000 0.0000 0.5000
0.5000 0.0000 0.0000
0.0000 0.5000 0.0000
0.0000 0.0000 0.0000
0.5000 0.5000 0.5000

***

Record 10
PBE-GGA Sm2BiAu, optimized geometry; energy of formation = -70.1 kJ per mole of atoms; SG = No. 166; total energy = -4.875 eV/atom
1.0
-4.2502 0.9086 0.8087
-3.1751 -2.0829 -2.2637
-2.6353 -5.6377 4.5669
Au Bi Sm
1 1 2
direct
0.5000 0.5000 0.5000
0.0000 0.0000 0.0000
0.7561 0.7561 0.7316
0.2439 0.2439 0.2684

***

Record 11
PBE-GGA Sm4BiAu2, optimized geometry; energy of formation = -53.4 kJ per mole of atoms; SG = No. 166; total energy = -4.741 eV/atom
1.0
4.8500 0.0000 0.0000
2.4250 4.2002 0.0000
2.4250 1.4001 10.6703
Sm Bi Au
4 1 2
direct
0.6979 0.6979 0.9062
0.8880 0.8880 0.3360
0.3021 0.3021 0.0938
0.1120 0.1120 0.6640
0.5000 0.5000 0.5000
0.6031 0.6031 0.1907
0.3969 0.3969 0.8093

***

Record 12
PBE-GGA Sm4BiAu, optimized geometry; energy of formation = -41.9 kJ per mole of atoms; SG = No. 63; total energy = -4.773 eV/atom
1.0
-4.0399 -3.1997 -2.4562
2.7185 -5.3198 2.4589
-3.9314 2.5256 9.8108
Sm Bi Au
8 2 2
direct
0.8859 0.3222 0.7717
0.1141 0.8222 0.2283
0.4452 0.8222 0.8904
0.5548 0.3222 0.1096
0.7061 0.5702 0.4121
0.2939 0.0702 0.5879
0.7061 0.0743 0.4122
0.2939 0.5743 0.5878
0.8505 0.8222 0.7011
0.1495 0.3222 0.2989
0.5815 0.8222 0.1630
0.4185 0.3222 0.8370

***

no.,calculated density (g/cm³)
1,11.81
2,9.67
3,11.12
4,5.68
5,6.17
6,7.90
7,10.09
8,12.74
9,7.75
10,9.52
11,9.20
12,8.65